# TaCrMo2, single point on PBEsol structure, DFT meta-GGA SCAN
data_TaCrMo2
_cell_length_a 3.096
_cell_length_b 4.387
_cell_length_c 8.747
_cell_angle_alpha 90.00
_cell_angle_beta 90.00
_cell_angle_gamma 90.00
_symmetry_space_group_name_H-M 'I m m m'
_symmetry_Int_Tables_number 71
_symmetry_space_group_name_Hall '-I 2 2'
loop_
_atom_site_label
_atom_site_type_symbol
_atom_site_fract_x
_atom_site_fract_y
_atom_site_fract_z
_atom_site_occupancy
Ta1 Ta 0.000 0.000 0.000 1
Cr1 Cr 0.000 0.000 0.500 1
Mo1 Mo 0.000 0.500 0.244 1
# VASP energy = -38.7224 eV per atom
# offset from the most stable computed form = 0.060 eV/f.u.
# formation enthalpy at 0 K = -0.04 eV/atom
# DOS(E_F) = 3.9 states/eV per cell